Record 1
Here is MnTePt2 after structural relaxation from the Alexandria database. Energies are from PBE.

Cell: 4.160 4.160 8.029 Å, 90.00 90.00 90.00°
Fractional coordinates of all 8 atoms:
Mn (0.000, 0.000, 0.000)
Mn (0.500, 0.500, 0.500)
Te (0.000, 0.000, 0.500)
Te (0.500, 0.500, 0.000)
Pt (0.000, 0.500, 0.250)
Pt (0.000, 0.500, 0.750)
Pt (0.500, 0.000, 0.250)
Pt (0.500, 0.000, 0.750)

Total magnetization   8.4 μB/cell
Symmetry   I4/mmm
DOS(E_F)   2.654 states/eV/f.u.
Uncorrected formation energy   -1.59 kcal/mol of atoms



Record 2
Here is LaCd2Rh2 after structural relaxation from the Alexandria database. Energies are from PBE.

Cell: 7.772 7.772 3.335 Å, 90.00 90.00 90.00°
Fractional coordinates of all 10 atoms:
La (0.000, 0.000, 0.000)
La (0.500, 0.500, 0.000)
Cd (0.133, 0.367, 0.500)
Cd (0.367, 0.867, 0.500)
Cd (0.633, 0.133, 0.500)
Cd (0.867, 0.633, 0.500)
Rh (0.165, 0.665, 0.000)
Rh (0.335, 0.165, 0.000)
Rh (0.665, 0.835, 0.000)
Rh (0.835, 0.335, 0.000)

ΔH_f (0 K)   -380.1 meV per atom
Total magnetization   0.0 μB/cell
Symmetry   P4/mbm
DOS(E_F)   1.715 states/eV/f.u.
Offset from the most stable computed form   2 meV/atom



Record 3
Here is Ag2HgMo after structural relaxation from the Alexandria database. Energies are from PBE.

Cell: 9.694 2.798 5.434 Å, 90.00 97.85 90.00°
Fractional coordinates of all 8 atoms:
Ag (0.000, 0.000, 0.000)
Ag (0.248, 0.000, 0.761)
Ag (0.500, 0.500, 0.000)
Ag (0.748, 0.500, 0.761)
Hg (0.496, 0.000, 0.491)
Hg (0.996, 0.500, 0.491)
Mo (0.248, 0.500, 0.252)
Mo (0.748, 0.000, 0.252)

ΔH_f (0 K)   527.5 meV per atom
Total magnetization   1.7 μB/cell
Symmetry   Cm
DOS(E_F)   2.830 states/eV/f.u.



Q: Among the records above, which one has the lowest DOS(E_F)?
A: LaCd2Rh2